Entry 1:
A relaxed structure of U8CoSe17. Source: Alexandria, functional PBEsol.

Properties
E_form (uncorrected)	-1.004	eV per atom
space group	C2/m, No. 12
density of states at the Fermi level	47.1	states/eV/cell

a = 7.988 Å, b = 7.988 Å, c = 10.601 Å
α = 100.11°, β = 100.11°, γ = 64.44°
Element x y z (fractional)
U1 0.178 0.693 0.799
U2 0.201 0.201 0.953
U3 0.307 0.822 0.201
U4 0.320 0.320 0.484
U5 0.680 0.680 0.516
U6 0.693 0.178 0.799
U7 0.799 0.799 0.047
U8 0.822 0.307 0.201
Co1 0.000 0.000 0.500
Se1 0.000 0.000 0.000
Se2 0.052 0.052 0.721
Se3 0.053 0.683 0.524
Se4 0.185 0.563 0.039
Se5 0.219 0.219 0.221
Se6 0.295 0.295 0.740
Se7 0.317 0.947 0.476
Se8 0.437 0.815 0.961
Se9 0.479 0.479 0.329
Se10 0.521 0.521 0.671
Se11 0.563 0.185 0.039
Se12 0.683 0.053 0.524
Se13 0.705 0.705 0.260
Se14 0.781 0.781 0.779
Se15 0.815 0.437 0.961
Se16 0.947 0.317 0.476
Se17 0.948 0.948 0.279

---

Entry 2:
A relaxed structure of KSb2Se. Source: Alexandria, functional PBEsol.

Properties
E_form (uncorrected)	-0.197	eV per atom
space group	P4mm, No. 99
relative energy among the computed polymorphs	0.000	eV per atom
density of states at the Fermi level	1.1	states/eV/cell

a = 3.628 Å, b = 3.628 Å, c = 8.461 Å
α = 90.00°, β = 90.00°, γ = 90.00°
Element x y z (fractional)
K1 0.000 0.000 0.000
Sb1 0.000 0.000 0.442
Sb2 0.500 0.500 0.676
Se1 0.500 0.500 0.250

---

Entry 3:
A relaxed structure of CaSc3Mn. Source: Alexandria, functional PBEsol.

Properties
DFT formation energy	0.146	eV/atom
space group	Pm-3m, No. 221
relative energy among the computed polymorphs	0.000	eV per atom
density of states at the Fermi level	4.1	states/eV/cell

a = 4.925 Å, b = 4.925 Å, c = 4.925 Å
α = 90.00°, β = 90.00°, γ = 90.00°
Element x y z (fractional)
Ca1 0.000 0.000 0.000
Sc1 0.000 0.500 0.500
Sc2 0.500 0.000 0.500
Sc3 0.500 0.500 0.000
Mn1 0.500 0.500 0.500

---

Entry 4:
A relaxed structure of Fe2HgCl. Source: Alexandria, functional PBEsol.

Properties
E_form (uncorrected)	0.353	eV per atom
space group	R-3m, No. 166
relative energy among the computed polymorphs	0.000	eV per atom
density of states at the Fermi level	3.0	states/eV/cell

a = 8.177 Å, b = 8.177 Å, c = 8.177 Å
α = 20.81°, β = 20.81°, γ = 20.81°
Element x y z (fractional)
Fe1 0.242 0.242 0.242
Fe2 0.758 0.758 0.758
Hg1 0.000 0.000 0.000
Cl1 0.500 0.500 0.500

---

Entry 5:
A relaxed structure of Hg2SbSe. Source: Alexandria, functional PBEsol.

Properties
E_form (uncorrected)	0.044	eV per atom
space group	I-42d, No. 122
density of states at the Fermi level	4.7	states/eV/cell

a = 7.590 Å, b = 7.590 Å, c = 7.590 Å
α = 130.51°, β = 130.51°, γ = 72.59°
Element x y z (fractional)
Hg1 0.115 0.625 0.990
Hg2 0.375 0.365 0.490
Hg3 0.635 0.125 0.010
Hg4 0.875 0.885 0.510
Sb1 0.250 0.750 0.500
Sb2 0.500 0.500 0.000
Se1 0.000 0.000 0.000
Se2 0.750 0.250 0.500

---

Entry 6:
A relaxed structure of Mg2AlSb. Source: Alexandria, functional PBEsol.

Properties
E_form (uncorrected)	-0.061	eV per atom
space group	I-4m2, No. 119
relative energy among the computed polymorphs	0.011	eV per atom
density of states at the Fermi level	1.7	states/eV/cell

a = 5.678 Å, b = 5.678 Å, c = 5.678 Å
α = 136.54°, β = 136.54°, γ = 63.14°
Element x y z (fractional)
Mg1 0.000 0.000 0.000
Mg2 0.750 0.250 0.500
Al1 0.250 0.750 0.500
Sb1 0.500 0.500 0.000

---

Entry 7:
A relaxed structure of KAlZn2. Source: Alexandria, functional PBEsol.

Properties
DFT formation energy	0.210	eV/atom
space group	P4mm, No. 99
density of states at the Fermi level	1.9	states/eV/cell

a = 3.213 Å, b = 3.213 Å, c = 8.218 Å
α = 90.00°, β = 90.00°, γ = 90.00°
Element x y z (fractional)
K1 0.000 0.000 0.000
Al1 0.500 0.500 0.668
Zn1 0.000 0.000 0.480
Zn2 0.500 0.500 0.315

---

Entry 8:
A relaxed structure of Nb2PdS5. Source: Alexandria, functional PBEsol.

Properties
E_form (uncorrected)	-0.942	eV per atom
space group	C2/m, No. 12
density of states at the Fermi level	4.9	states/eV/cell

a = 6.272 Å, b = 6.272 Å, c = 15.256 Å
α = 104.25°, β = 104.25°, γ = 30.20°
Element x y z (fractional)
Nb1 0.074 0.074 0.181
Nb2 0.350 0.350 0.625
Nb3 0.650 0.650 0.375
Nb4 0.926 0.926 0.819
Pd1 0.500 0.500 0.000
Pd2 0.500 0.500 0.500
S1 0.004 0.004 0.686
S2 0.148 0.148 0.506
S3 0.252 0.252 0.302
S4 0.326 0.326 0.892
S5 0.421 0.421 0.123
S6 0.579 0.579 0.877
S7 0.674 0.674 0.108
S8 0.748 0.748 0.698
S9 0.852 0.852 0.494
S10 0.996 0.996 0.314

---

Entry 9:
A relaxed structure of CeClO. Source: Alexandria, functional PBEsol.

Properties
E_form (uncorrected)	-2.955	eV per atom
space group	P4/nmm, No. 129
density of states at the Fermi level	14.8	states/eV/cell

a = 3.970 Å, b = 3.970 Å, c = 6.814 Å
α = 90.00°, β = 90.00°, γ = 90.00°
Element x y z (fractional)
Ce1 0.250 0.250 0.178
Ce2 0.750 0.750 0.822
Cl1 0.250 0.250 0.631
Cl2 0.750 0.750 0.369
O1 0.250 0.750 0.000
O2 0.750 0.250 0.000

---

Entry 10:
A relaxed structure of NiIrRu2. Source: Alexandria, functional PBEsol.

Properties
DFT formation energy	0.466	eV/atom
space group	Fm-3m, No. 225
relative energy among the computed polymorphs	0.412	eV per atom
density of states at the Fermi level	7.3	states/eV/cell

a = 4.213 Å, b = 4.213 Å, c = 4.213 Å
α = 60.00°, β = 60.00°, γ = 60.00°
Element x y z (fractional)
Ni1 0.000 0.000 0.000
Ir1 0.500 0.500 0.500
Ru1 0.250 0.250 0.250
Ru2 0.750 0.750 0.750

---

Entry 11:
A relaxed structure of KSnAu3. Source: Alexandria, functional PBEsol.

Properties
DFT formation energy	1.187	eV/atom
space group	Pm-3m, No. 221
density of states at the Fermi level	2.4	states/eV/cell

a = 5.292 Å, b = 5.292 Å, c = 5.292 Å
α = 90.00°, β = 90.00°, γ = 90.00°
Element x y z (fractional)
K1 0.000 0.000 0.000
Sn1 0.500 0.500 0.500
Au1 0.000 0.000 0.500
Au2 0.000 0.500 0.000
Au3 0.500 0.000 0.000

---

Entry 12:
A relaxed structure of SrCaIr4. Source: Alexandria, functional PBEsol.

Properties
DFT formation energy	-0.308	eV/atom
space group	F-43m, No. 216
density of states at the Fermi level	6.3	states/eV/cell

a = 5.351 Å, b = 5.351 Å, c = 5.351 Å
α = 60.00°, β = 60.00°, γ = 60.00°
Element x y z (fractional)
Sr1 0.000 0.000 0.000
Ca1 0.750 0.750 0.750
Ir1 0.375 0.375 0.375
Ir2 0.375 0.375 0.874
Ir3 0.375 0.874 0.375
Ir4 0.874 0.375 0.375